(1)
Ag3MoI2Br6: optimized geometry, PBE.

Computed properties:
Formation energy (no corrections) in eV per atom: -0.343
Total DFT energy (no corrections) in eV per atom: -3.05
Density of states at the Fermi level in states/eV/cell: 5.32

abc: 8.5145 8.5145 6.2768
angles: 95.90 95.90 56.33
Last column: nearest neighbours and their distance in Å.
Atoms (fractional coordinates):
1 Ag 0.0000 0.0000 0.0000  2 I 2.85, 4 Br 3.08
2 Ag 0.0000 0.5000 0.5000  2 I 2.79, 2 Br 2.94
3 Ag 0.5000 0.0000 0.5000  2 I 2.79, 2 Br 2.94
4 Mo 0.5000 0.5000 0.5000  6 Br 2.53
5 I 0.1759 0.1759 0.2271  3 Ag 2.79-2.85
6 I 0.8241 0.8241 0.7729  3 Ag 2.79-2.85
7 Br 0.1982 0.6453 0.2626  1 Mo 2.53
8 Br 0.3547 0.8018 0.7374  1 Mo 2.53
9 Br 0.3700 0.3700 0.7239  1 Mo 2.53
10 Br 0.6300 0.6300 0.2761  1 Mo 2.53
11 Br 0.6453 0.1982 0.2626  1 Mo 2.53
12 Br 0.8018 0.3547 0.7374  1 Mo 2.53


(2)
AgIBrN2: optimized geometry, PBE.

Computed properties:
Formation energy (no corrections) in eV per atom: 1.857
Total DFT energy (no corrections) in eV per atom: -2.69
Excess energy over the best structure of this formula in the dataset in eV per atom: 0.1408
Density of states at the Fermi level in states/eV/cell: 2.14

abc: 4.0456 4.0456 8.2426
angles: 90.00 90.00 90.00
Last column: nearest neighbours and their distance in Å.
Atoms (fractional coordinates):
1 Ag 0.0000 0.0000 0.0000  4 I 2.86
2 I 0.5000 0.5000 0.0000  4 Ag 2.86
3 Br 0.5000 0.5000 0.5000  4 N 2.02
4 N 0.0000 0.5000 0.5000  2 Br 2.02
5 N 0.5000 0.0000 0.5000  2 Br 2.02


(3)
AgI2BrN: optimized geometry, PBE.

Computed properties:
Formation energy (no corrections) in eV per atom: 1.173
Total DFT energy (no corrections) in eV per atom: -2.02
Excess energy over the best structure of this formula in the dataset in eV per atom: 0.1559
Density of states at the Fermi level in states/eV/cell: 3.25

abc: 6.5849 6.5849 3.6885
angles: 90.00 90.00 90.00
Last column: nearest neighbours and their distance in Å.
Atoms (fractional coordinates):
1 Ag 0.0000 0.0000 0.0000  2 Ag 3.69, 8 I 3.77
2 I 0.0000 0.5000 0.5000  2 Br 3.29
3 I 0.5000 0.0000 0.5000  2 Br 3.29
4 Br 0.5000 0.5000 0.5000  2 N 1.84
5 N 0.5000 0.5000 0.0000  2 Br 1.84


(4)
AgIBrN2: optimized geometry, PBE.

Computed properties:
Formation energy (no corrections) in eV per atom: 1.717
Total DFT energy (no corrections) in eV per atom: -2.83
Excess energy over the best structure of this formula in the dataset in eV per atom: 0.0000
Density of states at the Fermi level in states/eV/cell: 2.24

abc: 4.2672 4.2672 7.1969
angles: 90.00 90.00 90.00
Last column: nearest neighbours and their distance in Å.
Atoms (fractional coordinates):
1 Ag 0.0000 0.0000 0.0000  4 N 2.13
2 I 0.0000 0.0000 0.5000  4 Br 3.02
3 Br 0.5000 0.5000 0.5000  4 I 3.02
4 N 0.0000 0.5000 0.0000  2 Ag 2.13
5 N 0.5000 0.0000 0.0000  2 Ag 2.13


(5)
AgI2BrN: optimized geometry, PBE.

Computed properties:
Formation energy (no corrections) in eV per atom: 1.017
Total DFT energy (no corrections) in eV per atom: -2.17
Excess energy over the best structure of this formula in the dataset in eV per atom: 0.0000
Density of states at the Fermi level in states/eV/cell: 7.26

abc: 5.9063 5.9063 4.1230
angles: 90.00 90.00 90.00
Last column: nearest neighbours and their distance in Å.
Atoms (fractional coordinates):
1 Ag 0.0000 0.0000 0.0000  2 N 2.06
2 I 0.0000 0.5000 0.0000  2 Ag 2.95
3 I 0.5000 0.0000 0.0000  2 Ag 2.95
4 Br 0.5000 0.5000 0.5000  8 I 3.60
5 N 0.0000 0.0000 0.5000  2 Ag 2.06


(6)
Na2AgIBr2: optimized geometry, PBE.

Computed properties:
Formation energy (no corrections) in eV per atom: -1.056
Total DFT energy (no corrections) in eV per atom: -2.79
Density of states at the Fermi level in states/eV/cell: 0.00

abc: 8.0600 8.0600 7.7145
angles: 90.00 90.00 61.94
Last column: nearest neighbours and their distance in Å.
Atoms (fractional coordinates):
1 Na 0.0148 0.3345 0.0000  3 Br 2.86-2.87, 1 I 3.11
2 Na 0.3345 0.0148 0.5000  3 Br 2.86-2.87, 1 I 3.11
3 Na 0.6655 0.9852 0.0000  3 Br 2.86-2.87, 1 I 3.11
4 Na 0.9852 0.6655 0.5000  3 Br 2.86-2.87, 1 I 3.11
5 Ag 0.3323 0.6677 0.0234  2 Br 2.77, 2 I 2.84-2.85
6 Ag 0.6677 0.3323 0.5234  2 Br 2.77, 2 I 2.84-2.85
7 I 0.3483 0.6517 0.6549  2 Ag 2.84-2.85, 2 Na 3.11
8 I 0.6517 0.3483 0.1549  2 Ag 2.84-2.85, 2 Na 3.11
9 Br 0.0008 0.6742 0.1291  1 Ag 2.77, 3 Na 2.86-2.87
10 Br 0.3258 0.9992 0.1291  1 Ag 2.77, 3 Na 2.86-2.87
11 Br 0.6742 0.0008 0.6291  1 Ag 2.77, 3 Na 2.86-2.87
12 Br 0.9992 0.3258 0.6291  1 Ag 2.77, 3 Na 2.86-2.87


(7)
Na2AgIBr6: optimized geometry, PBE.

Computed properties:
Formation energy (no corrections) in eV per atom: -0.673
Total DFT energy (no corrections) in eV per atom: -2.38

abc: 7.3255 7.4520 7.9179
angles: 87.51 63.65 67.36
Last column: nearest neighbours and their distance in Å.
Atoms (fractional coordinates):
1 Na 0.0000 0.0000 0.0000  5 Br 2.88-3.12
2 Na 0.0920 0.4837 0.4638  6 Br 2.89-3.23
3 Ag 0.4568 0.7982 0.4226  2 Br 2.57-2.58
4 I 0.4486 0.2869 0.9095  4 Br 2.70-2.79
5 Br 0.0517 0.8395 0.6375  1 Ag 2.58
6 Br 0.2532 0.0873 0.1928  1 I 2.79, 1 Na 3.12, 1 Ag 3.13
7 Br 0.3035 0.1659 0.6893  1 I 2.74, 1 Ag 3.04
8 Br 0.5824 0.3960 0.1464  1 I 2.74
9 Br 0.6196 0.4964 0.6450  1 I 2.70, 1 Ag 3.01
10 Br 0.8751 0.7174 0.2330  1 Ag 2.57


(8)
NaAgIBr: optimized geometry, PBE.

Computed properties:
Formation energy (no corrections) in eV per atom: -0.810
Total DFT energy (no corrections) in eV per atom: -2.66
Density of states at the Fermi level in states/eV/cell: 0.00

abc: 4.6717 5.6575 4.7300
angles: 90.00 90.00 90.00
Last column: nearest neighbours and their distance in Å.
Atoms (fractional coordinates):
1 Na 0.0000 0.0000 0.0000  2 Br 2.83
2 Ag 0.5000 0.5000 0.6695  2 Br 2.77, 2 I 2.96
3 I 0.5000 0.0000 0.4863  2 Ag 2.96, 2 Na 3.28
4 Br 0.0000 0.5000 0.9832  2 Ag 2.77, 2 Na 2.83